No. 1
Here is Tl2Ga2Pb at its PBEsol-relaxed geometry from the Alexandria database. Energies are from meta-GGA SCAN.

a b c (Å): 9.602 9.602 9.602
angles (deg): 157.71 157.71 31.73
Element x y z (fractional)
Tl: 0.112 0.112 0.000
Tl: 0.888 0.888 0.000
Ga: 0.250 0.750 0.500
Ga: 0.750 0.250 0.500
Pb: 0.500 0.500 0.000

Computed properties:
DOS at the Fermi energy   0.580 states/eV per atom
Total DFT energy (no corrections)   -50.52 eV/atom
Space group   I4/mmm (139)
M_tot   0.0 μB per cell
Excess energy over the best structure of this formula in the dataset   0.040 eV per formula unit
Formation energy from the elements   0.1166 eV/atom

No. 2
Here is TlGaPb2 at its PBEsol-relaxed geometry from the Alexandria database. Energies are from meta-GGA SCAN.

a b c (Å): 5.306 5.306 5.306
angles (deg): 60.00 60.00 60.00
Element x y z (fractional)
Tl: 0.000 0.000 0.000
Ga: 0.500 0.500 0.500
Pb: 0.250 0.250 0.250
Pb: 0.750 0.750 0.750

Computed properties:
DOS at the Fermi energy   0.478 states/eV per atom
Total DFT energy (no corrections)   -59.94 eV/atom
Space group   Fm-3m (225)
M_tot   0.0 μB per cell
Formation energy from the elements   0.1299 eV/atom

No. 3
Here is YGaPb3 at its PBEsol-relaxed geometry from the Alexandria database. Energies are from meta-GGA SCAN.

a b c (Å): 5.744 5.744 5.744
angles (deg): 90.00 90.00 90.00
Element x y z (fractional)
Y: 0.000 0.000 0.000
Ga: 0.500 0.500 0.500
Pb: 0.000 0.000 0.500
Pb: 0.000 0.500 0.000
Pb: 0.500 0.000 0.000

Computed properties:
DOS at the Fermi energy   0.475 states/eV per atom
Total DFT energy (no corrections)   -53.88 eV/atom
Space group   Pm-3m (221)
M_tot   0.0 μB per cell
Formation energy from the elements   0.4311 eV/atom

No. 4
Here is YGa3Pb at its PBEsol-relaxed geometry from the Alexandria database. Energies are from meta-GGA SCAN.

a b c (Å): 5.228 5.228 5.228
angles (deg): 90.00 90.00 90.00
Element x y z (fractional)
Y: 0.000 0.000 0.000
Ga: 0.000 0.500 0.500
Ga: 0.500 0.000 0.500
Ga: 0.500 0.500 0.000
Pb: 0.500 0.500 0.500

Computed properties:
DOS at the Fermi energy   0.541 states/eV per atom
Total DFT energy (no corrections)   -29.99 eV/atom
Space group   Pm-3m (221)
M_tot   0.0 μB per cell
Excess energy over the best structure of this formula in the dataset   0.000 eV per formula unit
Formation energy from the elements   0.5394 eV/atom